# 1
Below is crystalline DyAlCu at its relaxed geometry, with properties calculated at the PBE level.

The calculation puts the calculated formation energy at -0.240 eV/atom. The value obtained for the density of states at the Fermi level is 2.08 states/eV/f.u. The final energy comes out at -4.387 eV per atom.

Cell: 3.195 3.195 5.976 Å, 105.50 105.50 90.00°
Fractional positions:
Al (0.645, 0.645, 0.290)
Cu (0.261, 0.261, 0.523)
Dy (0.944, 0.944, 0.888)


# 2
Below is crystalline UTl3Ni2Te6 at its relaxed geometry, with properties calculated at the PBE level.

The value obtained for the density of states at the Fermi level is 10.20 states/eV/f.u. The energy relative to the elements, uncorrected is -3.08 eV/f.u. The final energy comes out at -4.324 eV per atom.

Cell: 6.774 6.774 9.037 Å, 97.22 97.22 119.61°
Each line ends with the local moment (μB).
Fractional positions:
Tl (0.843, 0.157, 0.500)  0.00
Tl (0.157, 0.843, 0.500)  0.00
Tl (0.500, 0.500, 0.500)  0.00
Te (0.565, 0.938, 0.815)  -0.03
Te (0.435, 0.062, 0.185)  -0.03
Te (0.313, 0.313, 0.819)  -0.04
Te (0.687, 0.687, 0.181)  -0.04
Te (0.938, 0.565, 0.815)  -0.03
Te (0.062, 0.435, 0.185)  -0.03
Ni (0.332, 0.668, 0.000)  -0.01
Ni (0.668, 0.332, 0.000)  -0.01
U (0.000, 0.000, 0.000)  1.65


# 3
Below is crystalline Tb2NdCd at its relaxed geometry, with properties calculated at the PBE level.

The calculation puts the calculated formation energy at -0.147 eV/atom. The value obtained for the density of states at the Fermi level is 5.04 states/eV/f.u. The calculation puts the relative energy among the computed polymorphs at 0 meV/atom. The final energy comes out at -3.883 eV per atom.

Cell: 3.667 3.667 8.962 Å, 90.00 90.00 90.00°
Fractional positions:
Tb (0.000, 0.000, 0.780)
Tb (0.000, 0.000, 0.220)
Cd (0.500, 0.500, 0.000)
Nd (0.500, 0.500, 0.500)


# 4
Below is crystalline Ag5Pd3Au2 at its relaxed geometry, with properties calculated at the PBE level.

The calculation puts the calculated formation energy at -0.059 eV/atom. The value obtained for the density of states at the Fermi level is 3.28 states/eV/f.u. The calculation puts the relative energy among the computed polymorphs at 0 meV/atom. The final energy comes out at -3.698 eV per atom.

Cell: 7.638 7.653 9.131 Å, 126.75 126.68 65.15°
Fractional positions:
Ag (0.678, 0.424, 0.953)
Ag (0.322, 0.576, 0.047)
Ag (0.626, 0.873, 0.251)
Ag (0.074, 0.823, 0.550)
Ag (0.424, 0.674, 0.446)
Ag (0.121, 0.374, 0.247)
Ag (0.576, 0.326, 0.554)
Ag (0.926, 0.177, 0.450)
Ag (0.879, 0.626, 0.753)
Ag (0.374, 0.127, 0.749)
Pd (0.224, 0.479, 0.651)
Pd (0.974, 0.725, 0.149)
Pd (0.776, 0.521, 0.349)
Pd (0.026, 0.275, 0.851)
Pd (0.825, 0.072, 0.050)
Pd (0.175, 0.928, 0.950)
Au (0.526, 0.775, 0.853)
Au (0.269, 0.027, 0.346)
Au (0.731, 0.973, 0.654)
Au (0.474, 0.225, 0.147)


# 5
Below is crystalline AcGePtN at its relaxed geometry, with properties calculated at the PBE level.

The value obtained for the density of states at the Fermi level is 1.70 states/eV/f.u. The energy relative to the elements, uncorrected is -3.51 eV/f.u. The final energy comes out at -6.651 eV per atom.

Cell: 4.134 4.134 8.892 Å, 90.00 90.00 90.00°
Fractional positions:
Ac (0.500, 0.000, 0.156)
Ac (0.000, 0.500, 0.844)
N (0.500, 0.000, 0.875)
N (0.000, 0.500, 0.125)
Ge (0.000, 0.500, 0.339)
Ge (0.500, 0.000, 0.661)
Pt (0.500, 0.500, 0.500)
Pt (0.000, 0.000, 0.500)


# 6
Below is crystalline SmCu3As2 at its relaxed geometry, with properties calculated at the PBE level.

The calculation puts the calculated formation energy at -0.476 eV/atom. The value obtained for the density of states at the Fermi level is 1.39 states/eV/f.u. The final energy comes out at -4.861 eV per atom.

Cell: 4.013 7.555 8.252 Å, 120.92 104.07 90.00°
Fractional positions:
As (0.481, 0.161, 0.962)
As (0.205, 0.688, 0.411)
As (0.795, 0.312, 0.589)
As (0.519, 0.839, 0.038)
Sm (0.140, 0.229, 0.280)
Sm (0.860, 0.771, 0.720)
Cu (0.594, 0.535, 0.188)
Cu (0.945, 0.295, 0.891)
Cu (0.309, 0.070, 0.617)
Cu (0.055, 0.705, 0.109)
Cu (0.691, 0.930, 0.383)
Cu (0.406, 0.465, 0.812)


# 7
Below is crystalline ErGaOs at its relaxed geometry, with properties calculated at the PBE level.

The calculation puts the calculated formation energy at -0.304 eV/atom. The value obtained for the density of states at the Fermi level is 0.39 states/eV/f.u. The final energy comes out at -6.577 eV per atom.

Cell: 3.330 3.330 5.520 Å, 107.56 107.56 90.00°
Fractional positions:
Er (0.993, 0.993, 0.986)
Os (0.312, 0.312, 0.624)
Ga (0.695, 0.695, 0.390)


# 8
Below is crystalline Ga2HCl6 at its relaxed geometry, with properties calculated at the PBE level.

The value obtained for the density of states at the Fermi level is 2.69 states/eV/f.u. The final energy comes out at -3.081 eV per atom.

Cell: 7.695 10.732 10.732 Å, 80.08 60.24 60.24°
Fractional positions:
Cl (0.014, 0.742, 0.748)
Cl (0.002, 0.820, 0.089)
Cl (0.355, 0.449, 0.913)
Cl (0.145, 0.087, 0.551)
Cl (0.986, 0.258, 0.252)
Cl (0.514, 0.748, 0.742)
Cl (0.855, 0.913, 0.449)
Cl (0.502, 0.089, 0.820)
Cl (0.486, 0.252, 0.258)
Cl (0.498, 0.911, 0.180)
Cl (0.998, 0.180, 0.911)
Cl (0.645, 0.551, 0.087)
Ga (0.769, 0.327, 0.131)
Ga (0.231, 0.673, 0.869)
Ga (0.269, 0.131, 0.327)
Ga (0.731, 0.869, 0.673)
H (0.250, 0.133, 0.867)
H (0.750, 0.867, 0.133)